{"formula": "RbSrB3H12", "functional": "GGA-PBE", "state": "relaxed", "total_energy_ev_per_atom": -4.1122, "space_group": "Pna2_1 (33)", "lattice_angstrom": [[8.423, 0.000, 0.000], [0.000, 7.844, 0.000], [0.000, 0.000, 11.631]], "species": ["Rb", "Rb", "Rb", "Rb", "Sr", "Sr", "Sr", "Sr", "B", "B", "B", "B", "B", "B", "B", "B", "B", "B", "B", "B", "H", "H", "H", "H", "H", "H", "H", "H", "H", "H", "H", "H", "H", "H", "H", "H", "H", "H", "H", "H", "H", "H", "H", "H", "H", "H", "H", "H", "H", "H", "H", "H", "H", "H", "H", "H", "H", "H", "H", "H", "H", "H", "H", "H", "H", "H", "H", "H"], "fractional_positions": [[0.543, 0.019, 0.241], [0.457, 0.981, 0.741], [0.957, 0.519, 0.741], [0.043, 0.481, 0.241], [0.512, 0.491, 0.977], [0.488, 0.509, 0.477], [0.988, 0.991, 0.477], [0.012, 0.009, 0.977], [0.731, 0.790, 0.930], [0.269, 0.210, 0.430], [0.769, 0.290, 0.430], [0.231, 0.710, 0.930], [0.326, 0.185, 0.030], [0.674, 0.815, 0.530], [0.174, 0.685, 0.530], [0.826, 0.315, 0.030], [0.519, 0.408, 0.729], [0.481, 0.592, 0.229], [0.981, 0.908, 0.229], [0.019, 0.092, 0.729], [0.725, 0.944, 0.913], [0.275, 0.056, 0.413], [0.775, 0.444, 0.413], [0.225, 0.556, 0.913], [0.869, 0.738, 0.931], [0.131, 0.262, 0.431], [0.631, 0.238, 0.431], [0.369, 0.762, 0.931], [0.661, 0.717, 0.851], [0.339, 0.283, 0.351], [0.839, 0.217, 0.351], [0.161, 0.783, 0.851], [0.672, 0.758, 0.024], [0.328, 0.242, 0.524], [0.828, 0.258, 0.524], [0.172, 0.742, 0.024], [0.302, 0.314, 0.088], [0.698, 0.686, 0.588], [0.198, 0.814, 0.588], [0.802, 0.186, 0.088], [0.468, 0.167, 0.011], [0.532, 0.833, 0.511], [0.032, 0.667, 0.511], [0.968, 0.333, 0.011], [0.257, 0.201, 0.938], [0.743, 0.799, 0.438], [0.243, 0.701, 0.438], [0.757, 0.299, 0.938], [0.279, 0.061, 0.084], [0.721, 0.939, 0.584], [0.221, 0.561, 0.584], [0.779, 0.439, 0.084], [0.641, 0.423, 0.785], [0.359, 0.577, 0.285], [0.859, 0.923, 0.285], [0.141, 0.077, 0.785], [0.552, 0.315, 0.648], [0.448, 0.685, 0.148], [0.948, 0.815, 0.148], [0.052, 0.185, 0.648], [0.473, 0.549, 0.699], [0.527, 0.451, 0.199], [0.027, 0.049, 0.199], [0.973, 0.951, 0.699], [0.414, 0.341, 0.787], [0.586, 0.659, 0.287], [0.086, 0.841, 0.287], [0.914, 0.159, 0.787]]}